(1)
Material: Hf2ZrPaN6
Method: DFT, PBE-GGA
State: relaxed

a = 5.631 Å, b = 5.632 Å, c = 5.862 Å
α = 61.28°, β = 61.30°, γ = 60.00°
Sites, in units of the cell vectors:
Hf 0.525 0.525 0.424
Hf 0.022 0.022 0.935
Zr 0.305 0.305 0.085
Pa 0.803 0.803 0.591
N 0.625 0.217 0.250
N 0.217 0.908 0.250
N 0.908 0.624 0.250
N 0.394 0.722 0.743
N 0.722 0.141 0.743
N 0.141 0.394 0.743

Calculated values
DOS(E_F) = 5.53 states/eV/f.u.

=====

(2)
Material: HfPbN3
Method: DFT, PBE-GGA
State: relaxed

a = 4.120 Å, b = 4.120 Å, c = 4.120 Å
α = 90.00°, β = 90.00°, γ = 90.00°
Sites, in units of the cell vectors:
Pb 0.000 0.000 0.000
Hf 0.500 0.500 0.500
N 0.000 0.500 0.000
N 0.000 0.000 0.500
N 0.500 0.000 0.000

Calculated values
DOS(E_F) = 1.57 states/eV/f.u.

=====

no.,ΔE_f (raw) (eV/f.u.)
1,-14.00
2,7.64